Record 1
A relaxed K8Te2S crystal, computed with GGA-PBE.

Calculated values
crystal system	monoclinic

Unit cell a=5.682 b=10.066 c=9.767 alpha=80.06 beta=106.91 gamma=90.00
Sites, in units of the cell vectors:
K: 0.445 0.711 0.891
K: 0.938 0.158 0.876
K: 0.062 0.842 0.124
K: 0.319 0.062 0.637
K: 0.681 0.938 0.363
K: 0.555 0.289 0.109
K: 0.818 0.556 0.635
K: 0.182 0.444 0.365
S: 0.500 0.000 0.000
Te: 0.748 0.248 0.496
Te: 0.252 0.752 0.504

***

Record 2
A relaxed K3TeS crystal, computed with GGA-PBE.

Calculated values
crystal system	cubic
E above lowest polymorph	77.7	meV per atom

Unit cell a=5.994 b=5.994 c=5.994 alpha=90.00 beta=90.00 gamma=90.00
Site moments in Bohr magnetons follow the coordinates.
Sites, in units of the cell vectors:
K: 0.000 0.000 0.500  0.00
K: 0.000 0.500 0.000  0.00
K: 0.500 0.000 0.000  0.00
Te: 0.500 0.500 0.500  0.33
S: 0.000 0.000 0.000  0.16

***

Record 3
A relaxed K5TeS4 crystal, computed with GGA-PBE.

Calculated values
crystal system	monoclinic

Unit cell a=5.104 b=7.439 c=8.475 alpha=101.02 beta=107.52 gamma=90.00
Sites, in units of the cell vectors:
K: 0.849 0.511 0.697
K: 0.500 0.500 0.000
K: 0.151 0.489 0.303
K: 0.187 0.038 0.375
K: 0.813 0.962 0.625
S: 0.660 0.237 0.320
S: 0.027 0.784 0.053
S: 0.973 0.216 0.947
S: 0.340 0.763 0.680
Te: 0.500 0.000 0.000

***

Record 4
A relaxed K2TeS2 crystal, computed with GGA-PBE.

Calculated values
crystal system	tetragonal
E above lowest polymorph	34.4	meV per atom

Unit cell a=7.586 b=7.586 c=4.781 alpha=90.00 beta=90.00 gamma=90.00
Sites, in units of the cell vectors:
K: 0.147 0.647 0.500
K: 0.853 0.353 0.500
K: 0.647 0.853 0.500
K: 0.353 0.147 0.500
Te: 0.000 0.000 0.000
Te: 0.500 0.500 0.000
S: 0.828 0.672 0.000
S: 0.172 0.328 0.000
S: 0.672 0.172 0.000
S: 0.328 0.828 0.000

***

Record 5
A relaxed K4TeS5 crystal, computed with GGA-PBE.

Calculated values
crystal system	tetragonal

Unit cell a=6.433 b=7.762 c=7.762 alpha=80.11 beta=65.52 gamma=65.52
Sites, in units of the cell vectors:
K: 0.615 0.597 0.177
K: 0.212 0.177 0.403
K: 0.389 0.403 0.823
K: 0.792 0.823 0.597
S: 0.931 0.303 0.833
S: 0.234 0.833 0.697
S: 0.067 0.697 0.167
S: 0.764 0.167 0.303
S: 0.436 0.000 0.000
Te: 0.069 0.000 0.000

***

Record 6
A relaxed K4TeS4 crystal, computed with GGA-PBE.

Calculated values
crystal system	tetragonal

Unit cell a=7.522 b=7.522 c=8.457 alpha=116.41 beta=116.41 gamma=90.00
Sites, in units of the cell vectors:
K: 0.708 0.708 0.415
K: 0.500 0.000 0.000
K: 0.292 0.292 0.585
K: 0.000 0.500 0.000
S: 0.689 0.689 0.773
S: 0.311 0.917 0.227
S: 0.917 0.311 0.227
S: 0.083 0.083 0.773
Te: 0.000 0.000 0.000

***

Record 7
A relaxed K3TeS3 crystal, computed with GGA-PBE.

Calculated values
crystal system	orthorhombic
E above lowest polymorph	45.2	meV per atom

Unit cell a=6.335 b=10.127 c=10.126 alpha=119.86 beta=90.00 gamma=90.00
Site moments in Bohr magnetons follow the coordinates.
Sites, in units of the cell vectors:
K: 0.250 0.652 0.825  0.00
K: 0.750 0.348 0.175  0.00
K: 0.250 0.174 0.827  0.00
K: 0.250 0.174 0.348  0.00
K: 0.750 0.826 0.173  0.00
K: 0.750 0.826 0.652  0.00
S: 0.250 0.812 0.624  0.11
S: 0.750 0.188 0.813  0.11
S: 0.250 0.812 0.187  0.11
S: 0.750 0.188 0.376  0.11
S: 0.750 0.624 0.812  0.11
S: 0.250 0.376 0.188  0.11
Te: 0.750 0.333 0.667  0.17
Te: 0.250 0.667 0.333  0.17

***

Record 8
A relaxed KTe2S crystal, computed with GGA-PBE.

Calculated values
crystal system	tetragonal

Unit cell a=6.362 b=6.362 c=9.793 alpha=71.04 beta=71.04 gamma=90.00
Sites, in units of the cell vectors:
Te: 0.875 0.625 0.750
Te: 0.375 0.125 0.250
Te: 0.375 0.625 0.250
Te: 0.375 0.625 0.750
S: 0.500 0.500 0.000
S: 0.250 0.750 0.500
K: 0.750 0.250 0.500
K: 0.000 0.000 0.000

***

Record 9
A relaxed KTe2S4 crystal, computed with GGA-PBE.

Calculated values
crystal system	orthorhombic
E above lowest polymorph	86.3	meV per atom

Unit cell a=7.307 b=7.307 c=10.838 alpha=90.00 beta=90.00 gamma=116.54
Sites, in units of the cell vectors:
S: 0.000 0.500 0.156
S: 0.483 0.245 0.000
S: 0.000 0.500 0.844
S: 0.517 0.755 0.000
S: 0.500 0.000 0.656
S: 0.755 0.517 0.500
S: 0.245 0.483 0.500
S: 0.500 0.000 0.344
K: 0.500 0.500 0.250
K: 0.500 0.500 0.750
Te: 0.790 0.221 0.000
Te: 0.779 0.210 0.500
Te: 0.210 0.779 0.000
Te: 0.221 0.790 0.500

***

Record 10
A relaxed K3TeS3 crystal, computed with GGA-PBE.

Calculated values
crystal system	hexagonal
E above lowest polymorph	0.0	meV per atom

Unit cell a=6.477 b=9.550 c=9.550 alpha=120.00 beta=90.00 gamma=90.00
Site moments in Bohr magnetons follow the coordinates.
Sites, in units of the cell vectors:
K: 0.250 0.637 0.924  0.00
K: 0.750 0.713 0.637  0.00
K: 0.750 0.924 0.287  0.00
K: 0.250 0.287 0.363  0.00
K: 0.250 0.076 0.713  0.00
K: 0.750 0.363 0.076  0.00
S: 0.250 0.919 0.306  0.12
S: 0.250 0.694 0.614  0.12
S: 0.750 0.306 0.386  0.12
S: 0.750 0.614 0.919  0.12
S: 0.250 0.386 0.081  0.12
S: 0.750 0.081 0.694  0.12
Te: 0.750 0.333 0.667  0.22
Te: 0.250 0.667 0.333  0.22

***

Record 11
A relaxed KTe2S3 crystal, computed with GGA-PBE.

Calculated values
crystal system	orthorhombic

Unit cell a=7.459 b=8.030 c=8.030 alpha=86.02 beta=90.00 gamma=90.00
Sites, in units of the cell vectors:
K: 0.250 0.291 0.709
K: 0.750 0.709 0.291
Te: 0.000 0.174 0.174
Te: 0.500 0.826 0.826
Te: 0.000 0.826 0.826
Te: 0.500 0.174 0.174
S: 0.750 0.311 0.335
S: 0.250 0.689 0.665
S: 0.250 0.001 0.999
S: 0.750 0.999 0.001
S: 0.750 0.665 0.689
S: 0.250 0.335 0.311

***

Record 12
A relaxed KThTeS crystal, computed with GGA-PBE.

Calculated values
crystal system	monoclinic

Unit cell a=4.217 b=4.215 c=8.725 alpha=89.98 beta=104.07 gamma=119.93
Sites, in units of the cell vectors:
S: 0.497 0.146 0.658
Te: 0.116 0.956 0.087
K: 0.977 0.387 0.379
Th: 0.288 0.542 0.846

***

One value per record, in order, for magnetic moment: 0.00; 1.00; 0.00; 0.00; 0.00; 0.00; 0.88; 0.00; 0.00; 1.06; 0.00; 0.00 μB/f.u..
One value per record, in order, for formation energy without anion corrections: -840; -368; -677; -321; -647; -660; -470; -113; -116; -501; -140; -525 kJ/mol of formula units.